First-principles (PBE+U) data for a relaxed AlMoN2O crystal, as listed in Alexandria.

Total moment in μB/f.u.: 1.2
Energy in eV for the cell shown: -32.43
Symmetry: No. 123

The structure in CIF format:
```
data_AlMoN2O
_chemical_formula_sum 'Al1 Mo1 N2 O1'
_cell_length_a 3.7673
_cell_length_b 3.7673
_cell_length_c 3.6545
_cell_angle_alpha 90.00
_cell_angle_beta 90.00
_cell_angle_gamma 90.00
_symmetry_space_group_name_H-M 'P 1'
_symmetry_Int_Tables_number 1
_symmetry_space_group_name_Hall 'P 1'
loop_
_atom_site_label
_atom_site_type_symbol
_atom_site_fract_x
_atom_site_fract_y
_atom_site_fract_z
Al1 Al 0.0000 0.0000 0.0000
Mo1 Mo 0.5000 0.5000 0.5000
N1 N 0.0000 0.5000 0.0000
N2 N 0.5000 0.0000 0.0000
O1 O 0.0000 0.0000 0.5000
```